#1
## In3HgO (PBE)

Data for In3HgO after structural relaxation.

Summary:
magnetic moment = 0.00 μB per cell

a b c (Å): 4.9173 4.9173 4.9173
angles (deg): 90.00 90.00 90.00
With the nearest neighbours (Å) after each atom.
Sites, in units of the cell vectors:
Hg 0.5000 0.5000 0.5000  12 In 3.48
In 0.0000 0.0000 0.5000  2 O 2.46
In 0.0000 0.5000 0.0000  2 O 2.46
In 0.5000 0.0000 0.0000  2 O 2.46
O 0.0000 0.0000 0.0000  6 In 2.46


#2
## In3HgO (PBE)

Data for In3HgO after structural relaxation.

Summary:
magnetic moment = 0.00 μB per cell

a b c (Å): 5.4626 5.4626 5.4626
angles (deg): 90.00 90.00 90.00
With the nearest neighbours (Å) after each atom.
Sites, in units of the cell vectors:
In 0.5000 0.0000 0.0000  2 Hg 2.73
In 0.0000 0.5000 0.0000  2 Hg 2.73
In 0.0000 0.0000 0.5000  2 Hg 2.73
Hg 0.0000 0.0000 0.0000  6 In 2.73
O 0.5000 0.5000 0.5000  12 In 3.86


Verdict on stability: #1 comes out on top.


#1
## InHgO2 (PBE)

Data for InHgO2 after structural relaxation.

Summary:
magnetic moment = 0.00 μB per cell

a b c (Å): 4.2882 4.2882 4.2882
angles (deg): 60.00 60.00 60.00
With the nearest neighbours (Å) after each atom.
Sites, in units of the cell vectors:
O 0.2500 0.2500 0.2500  4 Hg 2.63, 4 In 2.63
O 0.7500 0.7500 0.7500  4 Hg 2.63, 4 In 2.63
Hg 0.5000 0.5000 0.5000  8 O 2.63
In 0.0000 0.0000 0.0000  8 O 2.63


#2
## InHgO2 (PBE)

Data for InHgO2 after structural relaxation.

Summary:
magnetic moment = 0.00 μB per cell

a b c (Å): 5.3656 5.3656 6.3161
angles (deg): 64.86 64.86 90.00
With the nearest neighbours (Å) after each atom.
Sites, in units of the cell vectors:
O 0.5688 0.1250 0.2500  2 In 2.12
O 0.8750 0.8188 0.7500  2 In 2.12
O 0.1812 0.6250 0.2500  2 In 2.12
O 0.3750 0.4312 0.7500  2 In 2.12
Hg 0.7500 0.2500 0.5000  4 O 2.47
Hg 0.0000 0.0000 0.0000  4 O 2.47
In 0.2500 0.7500 0.5000  4 O 2.12
In 0.5000 0.5000 0.0000  4 O 2.12


#3
## InHgO2 (PBE)

Data for InHgO2 after structural relaxation.

Summary:
magnetic moment = 0.00 μB per cell

a b c (Å): 3.3451 5.8270 7.1105
angles (deg): 105.41 90.00 90.00
With the nearest neighbours (Å) after each atom.
Sites, in units of the cell vectors:
O 0.7500 0.8644 0.3425  3 In 2.21-2.23, 1 Hg 2.35
O 0.2500 0.3677 0.3406  3 In 2.21-2.23, 1 Hg 2.34
O 0.7500 0.6323 0.6594  3 In 2.21-2.23, 1 Hg 2.34
O 0.2500 0.1356 0.6575  3 In 2.21-2.23, 1 Hg 2.35
Hg 0.2500 0.2244 0.9997  2 O 2.34-2.35
Hg 0.7500 0.7756 0.0003  2 O 2.34-2.35
In 0.2500 0.7496 0.5001  6 O 2.21-2.23
In 0.7500 0.2504 0.4999  6 O 2.21-2.23


Verdict on stability: #3 comes out on top.


#1
## InHg3O (PBE)

Data for InHg3O after structural relaxation.

Summary:
magnetic moment = 0.00 μB per cell

a b c (Å): 5.6402 5.6402 5.6402
angles (deg): 90.00 90.00 90.00
With the nearest neighbours (Å) after each atom.
Sites, in units of the cell vectors:
Hg 0.5000 0.0000 0.0000  2 In 2.82
Hg 0.0000 0.0000 0.5000  2 In 2.82
Hg 0.0000 0.5000 0.0000  2 In 2.82
In 0.0000 0.0000 0.0000  6 Hg 2.82
O 0.5000 0.5000 0.5000  12 Hg 3.99


#2
## InHg3O (PBE)

Data for InHg3O after structural relaxation.

Summary:
magnetic moment = 0.00 μB per cell

a b c (Å): 4.9431 4.9431 4.9431
angles (deg): 90.00 90.00 90.00
With the nearest neighbours (Å) after each atom.
Sites, in units of the cell vectors:
O 0.0000 0.0000 0.0000  6 Hg 2.47
In 0.5000 0.5000 0.5000  12 Hg 3.50
Hg 0.5000 0.0000 0.0000  2 O 2.47
Hg 0.0000 0.0000 0.5000  2 O 2.47
Hg 0.0000 0.5000 0.0000  2 O 2.47


Verdict on stability: #2 comes out on top.


#1
## InHgOs (PBE)

Data for InHgOs after structural relaxation.

Summary:
magnetic moment = 0.42 μB per cell

a b c (Å): 8.8982 8.6483 2.9085
angles (deg): 85.35 75.63 19.01
With the nearest neighbours (Å) after each atom.
Sites, in units of the cell vectors:
In 0.6852 0.6852 0.3148  6 In 2.85-2.91, 2 Os 2.86
Hg 0.9841 0.9841 0.0159  6 Hg 2.85-2.91, 2 Os 2.98
Os 0.3307 0.3307 0.6693  6 Os 2.85-2.91, 2 In 2.86, 2 Hg 2.98


#2
## InHgOs (PBE)

Data for InHgOs after structural relaxation.

Summary:
magnetic moment = 0.34 μB per cell

a b c (Å): 3.0718 3.0718 7.0830
angles (deg): 90.00 90.00 120.00
With the nearest neighbours (Å) after each atom.
Sites, in units of the cell vectors:
In 0.3333 0.6667 0.3566  3 Os 2.78, 6 In 3.07
Os 0.6667 0.3333 0.6589  3 In 2.78, 3 Hg 2.91, 6 Os 3.07
Hg 0.0000 0.0000 0.9845  3 Os 2.91, 6 Hg 3.07, 3 In 3.18


Verdict on stability: #2 comes out on top.


#1
## InHgOs (PBE)

Data for InHgOs after structural relaxation.

Summary:
magnetic moment = 0.00 μB per cell

a b c (Å): 5.7403 5.7403 5.7403
angles (deg): 146.36 146.36 48.32
With the nearest neighbours (Å) after each atom.
Sites, in units of the cell vectors:
In 0.3125 0.3125 0.0000  4 Os 2.75
Hg 0.0114 0.0114 0.0000  4 Os 2.91, 5 In 3.14-3.15
Os 0.6761 0.6761 0.0000  4 In 2.75, 4 Hg 2.91


#2
## InHgOs (PBE)

Data for InHgOs after structural relaxation.

Summary:
magnetic moment = 0.62 μB per cell

a b c (Å): 5.3770 5.3770 5.3770
angles (deg): 147.94 135.53 55.86
With the nearest neighbours (Å) after each atom.
Sites, in units of the cell vectors:
Os 0.3211 0.3211 0.0000  4 In 2.83, 2 Os 2.97, 5 Hg 3.01-3.11
Hg 0.9941 0.9941 0.0000  5 In 2.94-3.10, 2 Hg 2.97, 5 Os 3.01-3.11
In 0.6848 0.6848 0.0000  4 Os 2.83, 5 Hg 2.94-3.10, 2 In 2.97


Verdict on stability: #1 comes out on top.


#1
## InHg2P (PBE)

Data for InHg2P after structural relaxation.

Summary:
magnetic moment = 0.00 μB per cell

a b c (Å): 5.0968 5.0968 5.0968
angles (deg): 60.00 60.00 60.00
With the nearest neighbours (Å) after each atom.
Sites, in units of the cell vectors:
In 0.5000 0.5000 0.5000  8 Hg 3.12
Hg 0.2500 0.2500 0.2500  4 In 3.12, 4 P 3.12
Hg 0.7500 0.7500 0.7500  4 In 3.12, 4 P 3.12
P 0.0000 0.0000 0.0000  8 Hg 3.12


#2
## InHg2P (PBE)

Data for InHg2P after structural relaxation.

Summary:
magnetic moment = 0.00 μB per cell

a b c (Å): 6.2608 6.2608 4.1036
angles (deg): 71.06 71.06 124.97
With the nearest neighbours (Å) after each atom.
Sites, in units of the cell vectors:
In 0.5000 0.0000 0.5000  4 P 2.89-2.92, 4 Hg 3.14
P 0.0000 0.5000 0.5000  4 In 2.89-2.92, 4 Hg 3.14
Hg 0.5000 0.5000 0.0000  4 Hg 2.89-2.92, 2 In 3.14, 2 P 3.14
Hg 0.0000 0.0000 0.0000  4 Hg 2.89-2.92, 2 P 3.14, 2 In 3.14


#3
## InHg2P (PBE)

Data for InHg2P after structural relaxation.

Summary:
magnetic moment = 0.00 μB per cell

a b c (Å): 4.0964 4.0964 7.4794
angles (deg): 72.99 72.99 59.77
With the nearest neighbours (Å) after each atom.
Sites, in units of the cell vectors:
P 0.2434 0.2434 0.2838  3 In 2.61-2.62
Hg 0.7497 0.7497 0.7459  3 Hg 3.06-3.12, 3 In 3.16-3.21
Hg 0.9886 0.9886 0.0269  3 P 2.94-3.05, 3 Hg 3.06-3.12
In 0.5182 0.5182 0.4434  3 P 2.61-2.62


#4
## InHg2P (PBE)

Data for InHg2P after structural relaxation.

Summary:
magnetic moment = 0.00 μB per cell

a b c (Å): 4.0748 4.0792 5.7878
angles (deg): 90.00 90.00 90.00
With the nearest neighbours (Å) after each atom.
Sites, in units of the cell vectors:
Hg 0.0000 0.0000 0.0000  4 Hg 2.88
Hg 0.5000 0.5000 0.0000  4 Hg 2.88
In 0.5000 0.0000 0.5000  4 P 2.88
P 0.0000 0.5000 0.5000  4 In 2.88


Verdict on stability: #3 comes out on top.